Density functional theory data (PBE-GGA) for K2PuU3O12 after structural relaxation.

## Properties
D(E_F): 0.494 states/eV/atom
Raw formation energy: -52.43 eV per formula unit
Space group: R-3m (166)
E: -9.018 eV/atom

a = 7.914 Å, b = 7.914 Å, c = 7.914 Å
α = 60.95°, β = 60.95°, γ = 60.95°
Positions (direct):
U: 0.000 0.500 0.000
O: 0.672 0.068 0.068
O: 0.932 0.328 0.932
O: 0.311 0.311 0.946
K: 0.674 0.674 0.674
U: 0.000 0.000 0.500
Pu: 0.000 0.000 0.000
O: 0.946 0.311 0.311
O: 0.689 0.054 0.689
O: 0.311 0.946 0.311
O: 0.068 0.672 0.068
O: 0.689 0.689 0.054
O: 0.328 0.932 0.932
O: 0.068 0.068 0.672
O: 0.932 0.932 0.328
U: 0.500 0.000 0.000
K: 0.326 0.326 0.326
O: 0.054 0.689 0.689